# 1
The following is a PBE calculation of an optimized crystal structure of HfZrH2, from the Alexandria database.

Calculated values
**Magnetic moment**: 0.00 Bohr magnetons per cell
**ΔE to the lowest computed polymorph**: 0.0432 eV/atom

Unit cell a=3.225 b=3.225 c=5.596 alpha=73.25 beta=73.25 gamma=60.00
Fractional coordinates of all 4 atoms:
Zr 0.000 0.000 0.000
H 0.750 0.750 0.751
H 0.250 0.250 0.249
Hf 0.500 0.500 0.500

***

# 2
The following is a PBE calculation of an optimized crystal structure of Pm6CoAu, from the Alexandria database.

Calculated values
**Magnetic moment**: 0.00 Bohr magnetons per cell
**ΔH_f (0 K)**: -113 meV/atom

Unit cell a=6.562 b=6.562 c=6.863 alpha=99.03 beta=99.03 gamma=115.15
Fractional coordinates of all 8 atoms:
Pm 0.240 0.240 0.714
Pm 0.533 0.886 0.739
Pm 0.760 0.760 0.286
Pm 0.886 0.533 0.739
Pm 0.114 0.467 0.261
Pm 0.467 0.114 0.261
Au 0.000 0.000 0.000
Co 0.500 0.500 0.500

***

# 3
The following is a PBE calculation of an optimized crystal structure of KCu4Pb3I12, from the Alexandria database.

Calculated values
**Magnetic moment**: 0.92 Bohr magnetons per cell
**E_form (uncorrected)**: -0.4364 eV/atom

Unit cell a=10.181 b=10.181 c=10.181 alpha=105.16 beta=105.16 gamma=105.16
Last column: magnetic moment on the atom in μB.
Fractional coordinates of all 20 atoms:
I 0.782 0.017 0.651  0.02
I 0.218 0.349 0.983  0.02
I 0.655 0.500 0.345  0.01
I 0.095 0.905 0.500  0.04
I 0.500 0.095 0.905  0.04
I 0.651 0.782 0.017  0.02
I 0.983 0.218 0.349  0.02
I 0.905 0.500 0.095  0.04
I 0.500 0.345 0.655  0.01
I 0.349 0.983 0.218  0.02
I 0.345 0.655 0.500  0.01
I 0.017 0.651 0.782  0.02
K 0.000 0.000 0.000  0.00
Cu 0.065 0.500 0.935  0.13
Cu 0.500 0.500 0.500  0.05
Cu 0.500 0.935 0.065  0.13
Cu 0.935 0.065 0.500  0.13
Pb 0.000 0.552 0.448  0.00
Pb 0.552 0.448 0.000  0.00
Pb 0.448 0.000 0.552  0.00

***

# 4
The following is a PBE calculation of an optimized crystal structure of K3BPb, from the Alexandria database.

Calculated values
**Magnetic moment**: 0.00 Bohr magnetons per cell
**ΔH_f (0 K)**: 805 meV/atom
**ΔE to the lowest computed polymorph**: 0.0000 eV/atom

Unit cell a=6.062 b=6.062 c=6.062 alpha=90.00 beta=90.00 gamma=90.00
Last column: magnetic moment on the atom in μB.
Fractional coordinates of all 5 atoms:
K 0.000 0.000 0.500  0.02
K 0.000 0.500 0.000  0.02
K 0.500 0.000 0.000  0.02
B 0.000 0.000 0.000  0.65
Pb 0.500 0.500 0.500  -0.58

***

# 5
The following is a PBE calculation of an optimized crystal structure of Er5Ni2Te2, from the Alexandria database.

Calculated values
**Magnetic moment**: 0.00 Bohr magnetons per cell
**E_form (uncorrected)**: -0.8179 eV/atom
**ΔE to the lowest computed polymorph**: 0.0000 eV/atom

Unit cell a=7.697 b=7.697 c=14.844 alpha=90.00 beta=90.00 gamma=150.07
Fractional coordinates of all 18 atoms:
Er 0.606 0.394 0.250
Er 0.260 0.740 0.371
Er 0.394 0.606 0.750
Er 0.960 0.040 0.374
Er 0.260 0.740 0.129
Er 0.740 0.260 0.629
Er 0.040 0.960 0.874
Er 0.040 0.960 0.626
Er 0.740 0.260 0.871
Er 0.960 0.040 0.126
Ni 0.813 0.187 0.250
Ni 0.187 0.813 0.750
Ni 0.414 0.586 0.250
Ni 0.586 0.414 0.750
Te 0.616 0.384 0.460
Te 0.384 0.616 0.960
Te 0.616 0.384 0.040
Te 0.384 0.616 0.540

***

# 6
The following is a PBE calculation of an optimized crystal structure of LaAu2Cl, from the Alexandria database.

Calculated values
**Magnetic moment**: 0.00 Bohr magnetons per cell
**E_form (uncorrected)**: -0.9528 eV/atom
**ΔE to the lowest computed polymorph**: 0.0595 eV/atom

Unit cell a=6.127 b=6.127 c=6.127 alpha=140.86 beta=140.86 gamma=56.56
Fractional coordinates of all 4 atoms:
Au 0.500 0.500 0.000
Au 0.000 0.000 0.000
La 0.750 0.250 0.500
Cl 0.250 0.750 0.500

***

# 7
The following is a PBE calculation of an optimized crystal structure of RbHfIn2Ir, from the Alexandria database.

Calculated values
**Magnetic moment**: 0.99 Bohr magnetons per cell
**ΔH_f (0 K)**: 1011 meV/atom

Unit cell a=5.185 b=5.845 c=5.185 alpha=90.00 beta=90.00 gamma=90.00
Last column: magnetic moment on the atom in μB.
Fractional coordinates of all 5 atoms:
In 0.500 0.000 0.000  0.00
In 0.000 0.000 0.500  0.00
Ir 0.000 0.000 0.000  0.05
Hf 0.500 0.500 0.500  0.55
Rb 0.000 0.500 0.000  0.01

***

# 8
The following is a PBE calculation of an optimized crystal structure of NaNpF6, from the Alexandria database.

Calculated values
**Magnetic moment**: 4.00 Bohr magnetons per cell
**E_form (uncorrected)**: -3.2304 eV/atom
**ΔE to the lowest computed polymorph**: 0.0104 eV/atom

Unit cell a=5.632 b=5.632 c=10.661 alpha=90.00 beta=90.00 gamma=120.00
Last column: magnetic moment on the atom in μB.
Fractional coordinates of all 16 atoms:
F 0.040 0.723 0.386  -0.03
F 0.723 0.683 0.614  -0.03
F 0.317 0.277 0.886  -0.03
F 0.040 0.317 0.114  -0.03
F 0.960 0.683 0.886  -0.03
F 0.277 0.960 0.114  -0.03
F 0.960 0.277 0.614  -0.03
F 0.277 0.317 0.386  -0.03
F 0.723 0.040 0.886  -0.03
F 0.317 0.040 0.614  -0.03
F 0.683 0.960 0.386  -0.03
F 0.683 0.723 0.114  -0.03
Na 0.667 0.333 0.750  0.00
Na 0.333 0.667 0.250  0.00
Np 0.000 0.000 0.000  2.16
Np 0.000 0.000 0.500  2.16

***

# 9
The following is a PBE calculation of an optimized crystal structure of ErZn3Au, from the Alexandria database.

Calculated values
**Magnetic moment**: 0.00 Bohr magnetons per cell
**ΔH_f (0 K)**: -390 meV/atom
**ΔE to the lowest computed polymorph**: 0.0328 eV/atom

Unit cell a=4.961 b=4.961 c=4.662 alpha=62.65 beta=62.65 gamma=77.32
Fractional coordinates of all 5 atoms:
Er 0.598 0.598 0.801
Zn 0.895 0.895 0.009
Zn 0.301 0.907 0.295
Zn 0.907 0.301 0.295
Au 0.299 0.299 0.598

***

# 10
The following is a PBE calculation of an optimized crystal structure of K2MgI2, from the Alexandria database.

Calculated values
**Magnetic moment**: 0.00 Bohr magnetons per cell
**E_form (uncorrected)**: -0.8602 eV/atom
**ΔE to the lowest computed polymorph**: 0.0120 eV/atom

Unit cell a=9.911 b=9.911 c=4.405 alpha=90.00 beta=90.00 gamma=90.00
Fractional coordinates of all 10 atoms:
K 0.143 0.357 0.000
K 0.357 0.857 0.000
K 0.643 0.143 0.000
K 0.857 0.643 0.000
I 0.844 0.344 0.500
I 0.344 0.156 0.500
I 0.656 0.844 0.500
I 0.156 0.656 0.500
Mg 0.500 0.500 0.000
Mg 0.000 0.000 0.000

***

# 11
The following is a PBE calculation of an optimized crystal structure of HfBeVRe, from the Alexandria database.

Calculated values
**Magnetic moment**: 0.00 Bohr magnetons per cell
**ΔH_f (0 K)**: -67 meV/atom

Unit cell a=4.387 b=4.387 c=4.387 alpha=60.00 beta=60.00 gamma=60.00
Fractional coordinates of all 4 atoms:
Re 0.500 0.500 0.500
Be 0.000 0.000 0.000
Hf 0.250 0.250 0.250
V 0.750 0.750 0.750

***

# 12
The following is a PBE calculation of an optimized crystal structure of Cd2Ag3Sn2, from the Alexandria database.

Calculated values
**Magnetic moment**: 0.00 Bohr magnetons per cell
**ΔH_f (0 K)**: 34 meV/atom

Unit cell a=4.422 b=5.680 c=6.666 alpha=100.23 beta=89.29 gamma=112.79
Fractional coordinates of all 7 atoms:
Ag 0.729 0.460 0.137
Ag 0.000 0.000 0.000
Ag 0.271 0.540 0.863
Sn 0.146 0.291 0.415
Sn 0.854 0.709 0.585
Cd 0.564 0.127 0.739
Cd 0.436 0.873 0.261

***

| no. | density (Mg/m³) |
| --- | --- |
| 1 | 9.49 |
| 2 | 7.31 |
| 3 | 4.40 |
| 4 | 2.50 |
| 5 | 9.15 |
| 6 | 10.38 |
| 7 | 7.25 |
| 8 | 4.24 |
| 9 | 10.28 |
| 10 | 2.73 |
| 11 | 11.81 |
| 12 | 8.61 |